[1]
The following is a PBE calculation of a relaxed KBa2Hg2 crystal, from the Alexandria database.

Calculated values
- Spin magnetization: 0.00 μB/cell
- Excess energy over the best structure of this formula in the dataset: 0.562 eV/f.u.
- Formation energy from the elements: -5.766 kcal/mol of atoms
- Calculated total energy: -6.8 eV per cell

Unit cell a=6.509 b=6.509 c=7.024 alpha=62.40 beta=62.40 gamma=90.00
Atoms (fractional coordinates):
K  0.000  0.000  0.000
Hg  0.366  0.366  0.269
Hg  0.634  0.634  0.731
Ba  0.750  0.250  0.500
Ba  0.250  0.750  0.500



[2]
The following is a PBE calculation of a relaxed LiLaSCl2 crystal, from the Alexandria database.

Calculated values
- Spin magnetization: 0.00 μB/cell
- Formation energy without anion corrections: -1646 meV/atom
- Excess energy over the best structure of this formula in the dataset: 0.498 eV/f.u.
- Calculated total energy: -22.9 eV per cell

Unit cell a=5.609 b=5.609 c=5.510 alpha=90.00 beta=90.00 gamma=90.00
Atoms (fractional coordinates):
S  0.000  0.000  0.500
Cl  0.000  0.500  0.000
Cl  0.500  0.000  0.000
Li  0.500  0.500  0.500
La  0.000  0.000  0.000